Here is a relaxed structure of NiPPd from Alexandria. Energies are from PBE-GGA.

- Energy relative to the elements: -0.37 eV per atom

Unit cell a=3.903 b=3.903 c=3.903 alpha=60.00 beta=60.00 gamma=60.00
Element x y z (fractional)
Ni1 0.000 0.000 0.000
P1 0.750 0.750 0.750
Pd1 0.500 0.500 0.500

=====

Here is a relaxed structure of Sr2ZrNi from Alexandria. Energies are from PBE-GGA.

- Offset from the most stable computed form: 0.150 eV/atom
- Energy relative to the elements: 0.25 eV per atom

Unit cell a=3.757 b=6.807 c=6.807 alpha=46.94 beta=90.00 gamma=90.00
Element x y z (fractional)
Sr1 0.000 0.000 0.000
Sr2 0.500 0.299 0.299
Zr1 0.000 0.677 0.677
Ni1 0.500 0.550 0.550

=====

Here is a relaxed structure of TaCl3 from Alexandria. Energies are from PBE-GGA.

- Formation energy (no corrections): -3.742 eV per formula unit

Unit cell a=6.746 b=6.746 c=6.746 alpha=153.00 beta=66.92 gamma=120.06
Element x y z (fractional)
Ta1 0.000 0.000 0.000
Cl1 0.004 0.358 0.646
Cl2 0.282 0.782 0.500
Cl3 0.713 0.358 0.354